Computed, not measured: TaTe2IF after structural relaxation at the PBE-GGA level of DFT.

abc: 4.6821 4.6821 5.7725
angles: 90.00 90.00 90.00
Site moments in Bohr magnetons follow the coordinates.
Fractional positions:
Te (0.0000, 0.5000, 0.0000)  -0.10
Te (0.5000, 0.0000, 0.0000)  -0.10
F (0.0000, 0.0000, 0.0000)  0.00
Ta (0.5000, 0.5000, 0.5000)  1.82
I (0.0000, 0.0000, 0.5000)  -0.06

Values from the calculation:
* Fermi-level density of states: 3.09 states/eV/f.u.
* magnetic moment: 2.4 μB/cell
* crystal system: tetragonal
* energy: -3.6945 eV per atom
* distance to the lowest polymorph of the same formula: 691 meV per atom
* SG: P4/mmm (123)
* ΔE_f (raw): 0.617 eV per atom